# PrHo12Tm6 (PBE, optimized geometry)
data_PrHo12Tm6
_chemical_formula_sum 'Pr1 Ho12 Tm6'
_cell_length_a 9.2095
_cell_length_b 9.2095
_cell_length_c 9.2095
_cell_angle_alpha 107.48
_cell_angle_beta 107.48
_cell_angle_gamma 107.48
_space_group_name_H-M_alt 'P 1'
_space_group_IT_number 1
_space_group_name_Hall 'P 1'
loop_
_atom_site_label
_atom_site_fract_x
_atom_site_fract_y
_atom_site_fract_z
_atom_site_occupancy
Pr1 0.0000 0.0000 0.0000 1
Ho1 0.1114 0.5000 0.8886 1
Ho2 0.1114 0.8886 0.5000 1
Ho3 0.1457 0.3672 0.3672 1
Ho4 0.3672 0.1457 0.3672 1
Ho5 0.3672 0.3672 0.1457 1
Ho6 0.5000 0.1114 0.8886 1
Ho7 0.5000 0.8886 0.1114 1
Ho8 0.6328 0.6328 0.8543 1
Ho9 0.6328 0.8543 0.6328 1
Ho10 0.8543 0.6328 0.6328 1
Ho11 0.8886 0.1114 0.5000 1
Ho12 0.8886 0.5000 0.1114 1
Tm1 0.2703 0.6901 0.6901 1
Tm2 0.3099 0.3099 0.7297 1
Tm3 0.3099 0.7297 0.3099 1
Tm4 0.6901 0.2703 0.6901 1
Tm5 0.6901 0.6901 0.2703 1
Tm6 0.7297 0.3099 0.3099 1
# **Symmetry**: R-3m
# **Uncorrected energy**: -78.286 eV/cell